DFT (PBE) results for a relaxed Pm2YOs crystal.

Properties
density of states at the Fermi level: 2.90 states/eV/f.u.
offset from the most stable computed form: 16.3 meV/atom
space-group type: Cmcm, No. 63
final energy: -6.944 eV per atom
formation energy from the elements: -145 meV/atom
magnetic moment: 0.0 μB/cell

Lattice parameters (Å, degrees): 4.091 6.343 9.176 90.00 90.00 108.84
Atoms (fractional coordinates):
Pm  0.357  0.714  0.933
Pm  0.643  0.286  0.433
Pm  0.357  0.714  0.567
Pm  0.643  0.286  0.067
Y  0.923  0.845  0.250
Y  0.077  0.155  0.750
Os  0.260  0.520  0.250
Os  0.740  0.480  0.750

---

DFT (PBE) results for a relaxed Pm2YOs crystal.

Properties
density of states at the Fermi level: 6.16 states/eV/f.u.
offset from the most stable computed form: 526.4 meV/atom
space-group type: R-3m, No. 166
final energy: -6.434 eV per atom
formation energy from the elements: 365 meV/atom
magnetic moment: 0.1 μB/cell

Lattice parameters (Å, degrees): 3.569 3.569 11.096 80.75 80.75 60.00
Atoms (fractional coordinates):
Os  0.500  0.500  0.500
Y  0.000  0.000  0.000
Pm  0.106  0.106  0.682
Pm  0.894  0.894  0.318